First-principles (GGA+U) data for AlReW2O8 after structural relaxation, as listed in Alexandria via LeMat-Bulk.

Properties
Total moment, μB per cell: 6.00
ρ, g/cm³: 8.20
Electronic total energy, eV/atom: -7.56

Cell lengths 5.042, 5.679, 6.061 Å; angles 116.24, 109.68, 91.20 degrees
Site moments in Bohr magnetons follow the coordinates.
Fractional coordinates of all 12 atoms:
O: 0.358 0.814 0.205  0.02
O: 0.223 0.994 0.618  0.06
O: 0.332 0.302 0.121  0.01
O: 0.795 0.041 0.108  0.03
O: 0.731 0.241 0.695  -0.03
O: 0.691 0.745 0.590  0.04
O: 0.204 0.544 0.660  0.04
O: 0.830 0.570 0.180  0.06
W: 0.782 0.964 0.409  1.21
W: 0.262 0.598 0.387  1.16
Al: 0.569 0.229 0.934  0.01
Re: 0.022 0.780 0.898  2.93